! PBE SrZnPd, optimized geometry; values from VASP
&SYSTEM
  ibrav = 0, nat = 3, ntyp = 3
/
ATOMIC_SPECIES
Sr 87.62 Sr.upf
Zn 65.41 Zn.upf
Pd 106.42 Pd.upf
CELL_PARAMETERS angstrom
-1.788 1.788 5.329
1.788 -1.788 5.329
1.788 1.788 -5.329
ATOMIC_POSITIONS crystal
Sr 0.000 0.000 0.000
Zn 0.288 0.288 0.000
Pd 0.704 0.704 0.000
! Formation enthalpy at 0 K = -1.20 eV per formula unit